1.
PrCdFe (GGA-PBE, optimized geometry); energy of formation = -0.02 eV/atom; calculated volume = 22.610 Å³ per atom
1.0
6.7628 -1.9601 0.0000
6.7628 1.9601 0.0000
-1.2496 0.0000 5.1170
Pr Cd Fe
2 2 2
Direct
0.1331 0.1331 0.3223
0.8669 0.8669 0.6777
0.4250 0.4250 0.2160
0.5750 0.5750 0.7840
0.2313 0.2313 0.9135
0.7687 0.7687 0.0865



2.
CdFe2Pt9 (GGA-PBE, optimized geometry); energy of formation = -0.22 eV/atom; calculated volume = 15.508 Å³ per atom
1.0
3.9587 0.0000 0.0000
0.0000 3.9587 0.0000
0.0000 0.0000 11.8753
Cd Fe Pt
1 2 9
Direct
0.0000 0.0000 0.0000
0.0000 0.0000 0.3336
0.0000 0.0000 0.6664
0.0000 0.5000 0.1780
0.0000 0.5000 0.5000
0.0000 0.5000 0.8220
0.5000 0.0000 0.1780
0.5000 0.0000 0.5000
0.5000 0.0000 0.8220
0.5000 0.5000 0.0000
0.5000 0.5000 0.3385
0.5000 0.5000 0.6615



3.
Cd4FePt5 (GGA-PBE, optimized geometry); energy of formation = -0.30 eV/atom; calculated volume = 16.866 Å³ per atom
1.0
2.9660 0.0000 0.0000
0.0000 2.9660 0.0000
0.0000 0.0000 19.1722
Cd Fe Pt
4 1 5
Direct
0.0000 0.0000 0.1032
0.0000 0.0000 0.3093
0.0000 0.0000 0.6907
0.0000 0.0000 0.8968
0.0000 0.0000 0.5000
0.5000 0.5000 0.0000
0.5000 0.5000 0.2061
0.5000 0.5000 0.4160
0.5000 0.5000 0.5840
0.5000 0.5000 0.7939



4.
Cd3FePt (GGA-PBE, optimized geometry); energy of formation = 0.67 eV/atom; calculated volume = 27.345 Å³ per atom
1.0
5.1517 0.0000 0.0000
0.0000 5.1517 0.0000
0.0000 0.0000 5.1517
Cd Fe Pt
3 1 1
Direct
0.0000 0.0000 0.5000
0.0000 0.5000 0.0000
0.5000 0.0000 0.0000
0.5000 0.5000 0.5000
0.0000 0.0000 0.0000



5.
Cd3FePt12 (GGA-PBE, optimized geometry); energy of formation = -0.20 eV/atom; calculated volume = 16.105 Å³ per atom
1.0
4.0121 0.0000 0.0000
0.0000 4.0121 0.0000
0.0000 0.0000 16.0080
Cd Fe Pt
3 1 12
Direct
0.0000 0.0000 0.0000
0.0000 0.0000 0.2547
0.0000 0.0000 0.7453
0.0000 0.0000 0.5000
0.0000 0.5000 0.1274
0.0000 0.5000 0.3839
0.0000 0.5000 0.6161
0.0000 0.5000 0.8726
0.5000 0.0000 0.1274
0.5000 0.0000 0.3839
0.5000 0.0000 0.6161
0.5000 0.0000 0.8726
0.5000 0.5000 0.0000
0.5000 0.5000 0.2551
0.5000 0.5000 0.5000
0.5000 0.5000 0.7449



6.
CdFePt (GGA-PBE, optimized geometry); energy of formation = 0.22 eV/atom; calculated volume = 18.318 Å³ per atom
1.0
0.0000 3.0176 3.0176
3.0176 0.0000 3.0176
3.0176 3.0176 0.0000
Cd Fe Pt
1 1 1
Direct
0.0000 0.0000 0.0000
0.7500 0.7500 0.7500
0.5000 0.5000 0.5000



7.
CdFePt (GGA-PBE, optimized geometry); energy of formation = -0.01 eV/atom; calculated volume = 16.235 Å³ per atom
1.0
4.4528 0.0000 0.0000
-2.2264 3.8563 0.0000
0.0000 0.0000 2.8363
Cd Fe Pt
1 1 1
Direct
0.0000 0.0000 0.0000
0.3333 0.6667 0.4319
0.6667 0.3333 0.5460



8.
CdFePt (GGA-PBE, optimized geometry); energy of formation = -0.15 eV/atom; calculated volume = 16.780 Å³ per atom
1.0
-1.4751 1.4751 11.5679
1.4751 -1.4751 11.5679
1.4751 1.4751 -11.5679
Cd Fe Pt
2 2 2
Direct
0.0622 0.0622 0.0000
0.9378 0.9378 0.0000
0.2191 0.2191 0.0000
0.7809 0.7809 0.0000
0.3494 0.3494 0.0000
0.6506 0.6506 0.0000



9.
CdFePt (GGA-PBE, optimized geometry); energy of formation = -0.04 eV/atom; calculated volume = 16.070 Å³ per atom
1.0
-1.4280 1.8917 4.4618
1.4280 -1.8917 4.4618
1.4280 1.8917 -4.4618
Cd Fe Pt
1 1 1
Direct
0.0000 0.0000 0.0000
0.6792 0.6792 0.0000
0.3170 0.3170 0.0000



10.
CdFePt (GGA-PBE, optimized geometry); energy of formation = -0.06 eV/atom; calculated volume = 15.930 Å³ per atom
1.0
-1.4276 1.4276 5.8624
1.4276 -1.4276 5.8624
1.4276 1.4276 -5.8624
Cd Fe Pt
1 1 1
Direct
0.0000 0.0000 0.0000
0.3262 0.3262 0.0000
0.6828 0.6828 0.0000



11.
CdFe2Pt8 (GGA-PBE, optimized geometry); energy of formation = -0.19 eV/atom; calculated volume = 15.511 Å³ per atom
1.0
7.1173 -1.9723 0.0000
7.1173 1.9723 0.0000
-1.7425 0.0000 6.0773
Cd Fe Pt
1 2 8
Direct
0.0000 0.0000 0.0000
0.2732 0.2732 0.3520
0.7268 0.7268 0.6480
0.1007 0.1007 0.4642
0.1837 0.1837 0.9149
0.3541 0.3541 0.7948
0.4513 0.4513 0.2804
0.5487 0.5487 0.7196
0.6459 0.6459 0.2052
0.8163 0.8163 0.0851
0.8993 0.8993 0.5358



12.
CdFe3Pt (GGA-PBE, optimized geometry); energy of formation = 0.95 eV/atom; calculated volume = 20.884 Å³ per atom
1.0
4.7090 0.0000 0.0000
0.0000 4.7090 0.0000
0.0000 0.0000 4.7090
Cd Fe Pt
1 3 1
Direct
0.0000 0.0000 0.0000
0.0000 0.5000 0.5000
0.5000 0.0000 0.5000
0.5000 0.5000 0.0000
0.5000 0.5000 0.5000